P | Below is a geometry-optimized BeCrPd structure, with properties calculated at the PBE-GGA level.

Output
space-group type	Fmmm, No. 69
magnetic moment	0.00	μB/cell

abc: 5.636 4.762 4.328
angles: 76.47 55.23 48.30
Positions (direct):
Be 0.250 0.250 0.250
Be 0.750 0.750 0.750
Cr 0.161 0.839 0.161
Cr 0.839 0.161 0.839
Pd 0.346 0.346 0.654
Pd 0.654 0.654 0.346

Q | Below is a geometry-optimized BeCrPd structure, with properties calculated at the PBE-GGA level.

Output
space-group type	Cm, No. 8
magnetic moment	0.00	μB/cell

abc: 4.747 4.747 5.690
angles: 110.22 110.22 36.75
Positions (direct):
Be 0.000 0.000 0.000
Be 0.674 0.674 0.307
Cr 0.003 0.003 0.458
Cr 0.372 0.372 0.194
Pd 0.323 0.323 0.646
Pd 0.653 0.653 0.873

Stability check: which of them is least stable? P.

P | Below is a geometry-optimized BeCrPd structure, with properties calculated at the PBE-GGA level.

Output
space-group type	Amm2, No. 38
magnetic moment	0.00	μB/cell

abc: 4.667 4.192 4.192
angles: 59.92 90.00 90.00
Positions (direct):
Be 0.000 0.000 0.000
Be 0.500 0.333 0.333
Cr 0.214 0.666 0.666
Cr 0.786 0.666 0.666
Pd 0.000 0.333 0.333
Pd 0.500 0.999 0.999

Q | Below is a geometry-optimized BeCrPd structure, with properties calculated at the PBE-GGA level.

Output
space-group type	P1, No. 1
magnetic moment	0.00	μB/cell

abc: 2.720 3.898 6.987
angles: 106.12 90.05 90.00
Positions (direct):
Be 0.000 0.000 0.000
Be 0.500 0.131 0.262
Cr 0.500 0.452 0.904
Cr 0.504 0.855 0.712
Pd 0.001 0.623 0.245
Pd 0.002 0.275 0.551

R | Below is a geometry-optimized BeCrPd structure, with properties calculated at the PBE-GGA level.

Output
space-group type	P1, No. 1
magnetic moment	0.28	μB/cell

abc: 2.870 2.873 8.551
angles: 89.96 89.77 89.99
Positions (direct):
Be 0.000 0.000 0.000
Be 0.004 0.000 0.673
Cr 0.507 0.500 0.514
Cr 0.992 0.997 0.379
Pd 0.500 0.499 0.159
Pd 0.502 0.500 0.832

S | Below is a geometry-optimized BeCrPd structure, with properties calculated at the PBE-GGA level.

Output
space-group type	C2/m, No. 12
magnetic moment	0.00	μB/cell

abc: 5.049 5.049 5.519
angles: 107.76 107.76 32.64
Positions (direct):
Be 0.160 0.160 0.348
Be 0.840 0.840 0.652
Cr 0.197 0.197 0.857
Cr 0.803 0.803 0.143
Pd 0.500 0.500 0.000
Pd 0.500 0.500 0.500

Stability check: which of them is least stable? Q.

P | Below is a geometry-optimized Be3CrPd structure, with properties calculated at the PBE-GGA level.

Output
space-group type	Pm-3m, No. 221
magnetic moment	0.06	μB/cell

abc: 4.072 4.072 4.072
angles: 90.00 90.00 90.00
Positions (direct):
Be 0.000 0.000 0.500
Be 0.000 0.500 0.000
Be 0.500 0.000 0.000
Cr 0.500 0.500 0.500
Pd 0.000 0.000 0.000

Q | Below is a geometry-optimized Be3CrPd structure, with properties calculated at the PBE-GGA level.

Output
space-group type	Pm-3m, No. 221
magnetic moment	0.00	μB/cell

abc: 3.982 3.982 3.982
angles: 90.00 90.00 90.00
Positions (direct):
Be 0.000 0.000 0.500
Be 0.000 0.500 0.000
Be 0.500 0.000 0.000
Cr 0.000 0.000 0.000
Pd 0.500 0.500 0.500

Stability check: which of them is least stable? Q.